1.
! Na2SmPaO6, relaxed, DFT PBE; values from VASP
! **Formation energy (no corrections)**: -2466 meV/atom
&SYSTEM
  ibrav = 0, nat = 20, ntyp = 4
/
ATOMIC_SPECIES
Na 22.99 Na.upf
Sm 150.36 Sm.upf
Pa 231.04 Pa.upf
O 16.00 O.upf
CELL_PARAMETERS angstrom
5.9145 0.0000 0.0000
0.0000 6.0575 0.0000
-5.8789 0.0000 8.4456
ATOMIC_POSITIONS angstrom
Na -0.0235 0.2339 2.0941
Na -2.9629 2.7948 6.3169
Na 2.9985 3.2627 2.1287
Na 0.0591 5.8236 6.3515
Sm -2.9394 0.0000 4.2228
Sm 0.0000 3.0288 0.0000
Pa 2.9573 0.0000 0.0000
Pa 0.0178 3.0288 4.2228
O -4.6735 1.1181 7.9915
O -1.7340 1.9107 3.7687
O -3.9827 4.2854 7.9431
O -1.0433 4.8009 3.7203
O -2.2882 0.3171 6.4386
O 0.6513 2.7116 2.2158
O -0.6157 3.3459 6.2298
O 2.3238 5.7404 2.0070
O 1.0789 1.2566 4.7253
O 4.0183 1.7721 0.5025
O 1.7696 4.1469 4.6769
O 4.7091 4.9394 0.4541

=====

2.
! Na4PaSn3O12, relaxed, DFT PBE; values from VASP
! **Formation energy (no corrections)**: -1707 meV/atom
&SYSTEM
  ibrav = 0, nat = 20, ntyp = 4
/
ATOMIC_SPECIES
Na 22.99 Na.upf
Pa 231.04 Pa.upf
Sn 118.71 Sn.upf
O 16.00 O.upf
CELL_PARAMETERS angstrom
-4.1648 4.1648 4.1648
4.1648 -4.1648 4.1648
4.1648 4.1648 -4.1648
ATOMIC_POSITIONS angstrom
Na 2.0824 2.0824 -2.0824
Na 2.0824 -2.0824 2.0824
Na -2.0824 2.0824 2.0824
Na 2.0824 2.0824 2.0824
Pa 0.0000 0.0000 0.0000
Sn 4.1648 0.0000 0.0000
Sn 0.0000 4.1648 0.0000
Sn 0.0000 0.0000 4.1648
O 2.1407 0.0000 0.0000
O 6.1890 0.0000 0.0000
O 4.1648 2.0824 0.0000
O 4.1648 0.0000 2.0824
O 0.0000 2.1407 0.0000
O 0.0000 0.0000 2.1407
O 2.0824 4.1648 0.0000
O 2.0824 0.0000 4.1648
O 0.0000 6.1890 0.0000
O 0.0000 0.0000 6.1890
O 0.0000 4.1648 2.0824
O 0.0000 2.0824 4.1648

=====

| no. | uncorrected energy (eV/atom) |
| --- | --- |
| 1 | -7.126 |
| 2 | -6.021 |